This record from Alexandria via LeMat-Bulk describes a geometry-optimized Sr2CrBr structure. The functional is PBE.

extended XYZ file:
```
4
Lattice="-1.970 2.093 8.895 1.970 -2.093 8.895 1.970 2.093 -8.895" Properties=species:S:1:pos:R:3 pbc="T T T"
Sr 0.000 0.000 0.000
Sr 0.000 2.093 4.640
Cr 0.000 0.000 7.156
Br 1.970 0.000 2.880
```

## Properties
calculated density = 3.48 Mg/m³
energy = -3.862 eV per atom
E_form (uncorrected) = -0.197 eV/atom
energy above the most stable polymorph in this dataset = 0.098 eV per atom